# Tm5SbC2

A geometry-optimized Tm5SbC2 structure (PBE, OQMD via LeMat-Bulk).

abc: 3.5533 3.5533 16.4027
angles: 90.00 90.00 120.00
Last column: magnetic moment on the atom in μB.
Element x y z (fractional)
C  0.3333  0.6667  0.2306  0.00
C  0.3333  0.6667  0.7694  0.00
Sb  0.0000  0.0000  0.0000  0.00
Tm  0.6667  0.3333  0.1518  0.03
Tm  0.0000  0.0000  0.3117  0.10
Tm  0.6667  0.3333  0.5000  0.41
Tm  0.0000  0.0000  0.6883  0.10
Tm  0.6667  0.3333  0.8482  0.03

Properties
Its space-group type is P-6m2. Its total energy is -6.051 eV/atom.

***

# AlCoAu2

A geometry-optimized AlCoAu2 structure (PBE, OQMD via LeMat-Bulk).

abc: 4.4261 4.4261 4.4261
angles: 60.00 60.00 60.00
Last column: magnetic moment on the atom in μB.
Element x y z (fractional)
Al  0.5000  0.5000  0.5000  -0.02
Au  0.0000  0.0000  0.0000  -0.02
Au  0.7500  0.7500  0.7500  0.01
Co  0.2500  0.2500  0.2500  1.14

Properties
Its space-group type is F-43m. Its total energy is -4.373 eV/atom.

***

# TbYAg2Sn2

A geometry-optimized TbYAg2Sn2 structure (PBE, OQMD via LeMat-Bulk).

abc: 4.7417 4.7417 7.3438
angles: 90.00 90.00 120.00
Element x y z (fractional)
Ag  0.6667  0.3333  0.4506
Ag  0.3333  0.6667  0.9505
Sn  0.6667  0.3333  0.0394
Sn  0.3333  0.6667  0.5395
Tb  0.0000  0.0000  0.2599
Y  0.0000  0.0000  0.7600

Properties
Its space-group type is P3m1. Its total energy is -4.736 eV/atom.

***

# RbZrTlTe3

A geometry-optimized RbZrTlTe3 structure (PBE, OQMD via LeMat-Bulk).

abc: 8.8286 8.8286 12.7601
angles: 90.00 90.00 152.68
Element x y z (fractional)
Rb  0.3111  0.6889  0.2500
Rb  0.6889  0.3111  0.7500
Te  0.3823  0.6177  0.0003
Te  0.9946  0.0054  0.2500
Te  0.3823  0.6177  0.4997
Te  0.6177  0.3823  0.5003
Te  0.0054  0.9946  0.7500
Te  0.6177  0.3823  0.9997
Tl  0.6260  0.3740  0.2500
Tl  0.3740  0.6260  0.7500
Zr  0.0000  0.0000  0.0000
Zr  0.0000  0.0000  0.5000

Properties
Its space-group type is Cmcm. For the energy above the most stable polymorph in this dataset, the calculation gives 122 meV per atom. Its total energy is -4.235 eV/atom.